Density functional theory data (PBE) for a relaxed structure of MgSICl2.

Its formation energy from raw total energies is 0.1853 eV per atom. The volume comes out at 156.34 Å³ per cell. The calculation puts the density of states at the Fermi level at 1.679 states/eV/cell.

The structure belongs to space group P4/mmm (No. 123); the cell edges are 5.481, 5.481 and 5.204 Å and the angles 90.00°, 90.00° and 90.00°. Symmetry generates all atoms from Mg at (0.000, 0.000, 0.000), S at (0.500, 0.500, 0.000), I at (0.500, 0.500, 0.500) and Cl at (0.000, 0.500, 0.500).